[1]
DFT (PBEsol) results for ScCoBr2 after structural relaxation.

**Formation energy without anion corrections**: 0.16 eV per atom
**Space-group type**: F-43m (216)
**Total magnetization**: 2.6 μB/cell
**Density**: 5.779 g cm⁻³

a b c (Å): 6.717 6.717 6.717
angles (deg): 90.00 90.00 90.00
Fractional coordinates of all 16 atoms:
Sc 0.000 0.000 0.000
Sc 0.000 0.500 0.500
Sc 0.500 0.000 0.500
Sc 0.500 0.500 0.000
Co 0.250 0.250 0.250
Co 0.250 0.750 0.750
Co 0.750 0.250 0.750
Co 0.750 0.750 0.250
Br 0.000 0.000 0.500
Br 0.000 0.500 0.000
Br 0.250 0.250 0.750
Br 0.250 0.750 0.250
Br 0.500 0.000 0.000
Br 0.500 0.500 0.500
Br 0.750 0.250 0.250
Br 0.750 0.750 0.750

[2]
DFT (PBEsol) results for GaCo2AsH after structural relaxation.

**Space-group type**: P4/mmm (123)
**Total magnetization**: 1.7 μB/cell
**Uncorrected energy**: -5.014 eV per atom
**Density**: 7.053 g cm⁻³

a b c (Å): 4.407 4.407 3.195
angles (deg): 90.00 90.00 90.00
Fractional coordinates of all 5 atoms:
Ga 0.000 0.000 0.000
Co 0.000 0.500 0.500
Co 0.500 0.000 0.500
As 0.500 0.500 0.500
H 0.500 0.500 0.000